# VCu3B

A relaxed VCu3B crystal (GGA-PBE, the Alexandria database).

Cell lengths 3.953, 3.953, 3.953 Å; angles 90.00, 90.00, 90.00 degrees
Space group Pm-3m (No. 221)
Asymmetric unit:
V: 0.000 0.000 0.000
Cu: 0.000 0.500 0.500
B: 0.500 0.500 0.500

Calculated values
The value obtained for the total moment is 2.61 μB/cell. The energy above the most stable polymorph in this dataset comes out at 0 meV per atom. The calculation puts the density of states at the Fermi level at 0.809 states/eV per atom.